A geometry-optimized La2Zn3Ni12Os structure. Source: the Alexandria database, functional PBE.

Unit cell a=9.389 b=9.389 c=9.389 alpha=37.58 beta=37.58 gamma=37.58
Element x y z (fractional)
La (0.652, 0.652, 0.652)
La (0.348, 0.348, 0.348)
Zn (0.500, 0.000, 0.000)
Zn (0.000, 0.500, 0.000)
Zn (0.000, 0.000, 0.500)
Ni (0.420, 0.420, 0.811)
Ni (0.930, 0.930, 0.355)
Ni (0.355, 0.930, 0.930)
Ni (0.811, 0.420, 0.420)
Ni (0.930, 0.355, 0.930)
Ni (0.420, 0.811, 0.420)
Ni (0.580, 0.580, 0.189)
Ni (0.070, 0.070, 0.645)
Ni (0.645, 0.070, 0.070)
Ni (0.189, 0.580, 0.580)
Ni (0.070, 0.645, 0.070)
Ni (0.580, 0.189, 0.580)
Os (0.000, 0.000, 0.000)

Properties
**N(E_F)**: 23.28 states/eV/cell
**Energy of formation from the pure elements**: 128.8 meV per atom
**Calculated total energy**: -5.109 eV/atom
**Space-group type**: R-3m